1.
The following is a meta-GGA SCAN calculation of a PBEsol-optimized structure of LiIrF6, from the Alexandria database.

Results
* uncorrected energy: -13.84 eV per atom
* space group: No. 148
* formation energy from raw total energies: -1.9945 eV/atom

Lattice parameters (Å, degrees): 5.0642 5.0642 5.3797 61.92 61.92 60.00
With the nearest neighbours (Å) after each atom.
Element x y z (fractional)
Ir  0.0000  0.0000  0.0000  6 F 1.90
Li  0.5000  0.5000  0.5000  6 F 2.01
F  0.1164  0.7589  0.7571  1 Ir 1.90, 1 Li 2.01
F  0.3676  0.1164  0.7571  1 Ir 1.90, 1 Li 2.01
F  0.2411  0.6324  0.2429  1 Ir 1.90, 1 Li 2.01
F  0.7589  0.3676  0.7571  1 Ir 1.90, 1 Li 2.01
F  0.6324  0.8836  0.2429  1 Ir 1.90, 1 Li 2.01
F  0.8836  0.2411  0.2429  1 Ir 1.90, 1 Li 2.01

---

2.
The following is a meta-GGA SCAN calculation of a PBEsol-optimized structure of Na2LiIrF6, from the Alexandria database.

Results
* uncorrected energy: -12.69 eV per atom
* space group: No. 225
* formation energy from raw total energies: -2.3772 eV/atom

Lattice parameters (Å, degrees): 5.5639 5.5639 5.5639 60.00 60.00 60.00
With the nearest neighbours (Å) after each atom.
Element x y z (fractional)
Na  0.7500  0.7500  0.7500  12 F 2.78
Na  0.2500  0.2500  0.2500  12 F 2.78
Ir  0.0000  0.0000  0.0000  6 F 2.00
Li  0.5000  0.5000  0.5000  6 F 1.94
F  0.7463  0.2537  0.2537  1 Li 1.94, 1 Ir 2.00
F  0.7463  0.7463  0.2537  1 Li 1.94, 1 Ir 2.00
F  0.2537  0.7463  0.7463  1 Li 1.94, 1 Ir 2.00
F  0.7463  0.2537  0.7463  1 Li 1.94, 1 Ir 2.00
F  0.2537  0.7463  0.2537  1 Li 1.94, 1 Ir 2.00
F  0.2537  0.2537  0.7463  1 Li 1.94, 1 Ir 2.00